A geometry-optimized VSe2I structure, computed with PBE.

Unit cell a=3.3784 b=3.3784 c=11.6328 alpha=89.91 beta=89.91 gamma=59.23
Last column: nearest neighbours and their distance in Å.
Fractional positions:
I  0.5334  0.5333  0.8017  6 I 3.34-3.38
V  0.1983  0.1983  0.3235  6 Se 2.50-2.51
Se  0.5311  0.5312  0.1881  3 V 2.50-2.51
Se  0.8656  0.8656  0.4587  3 V 2.50-2.51

Summary:
symmetry: Cm
V: 114 Å³/cell
formation energy without anion corrections: -0.45 eV per atom

A geometry-optimized LiNbInCo structure, computed with PBE.

Unit cell a=4.3667 b=4.3667 c=4.3667 alpha=60.00 beta=60.00 gamma=60.00
Last column: nearest neighbours and their distance in Å.
Fractional positions:
Co  0.5000  0.5000  0.5000  4 Nb 2.67, 4 In 2.67
Li  0.0000  0.0000  0.0000  4 In 2.67, 4 Nb 2.67
Nb  0.2500  0.2500  0.2500  4 Li 2.67, 4 Co 2.67
In  0.7500  0.7500  0.7500  4 Co 2.67, 4 Li 2.67

Summary:
symmetry: F-43m
V: 59 Å³/cell
formation energy: -0.14 eV per atom

A geometry-optimized Tl2S6Cl structure, computed with PBE.

Unit cell a=4.5331 b=8.3638 c=9.2867 alpha=88.97 beta=62.50 gamma=81.13
Last column: nearest neighbours and their distance in Å.
Fractional positions:
Tl  0.5097  0.7589  0.0520  2 Cl 3.03-3.10, 2 S 3.06
Tl  0.4903  0.2411  0.9480  2 Cl 3.03-3.10, 2 S 3.06
S  0.9104  0.5309  0.3117  2 S 2.03-2.04
S  0.0896  0.4691  0.6883  2 S 2.03-2.04
S  0.0127  0.7196  0.4065  1 S 2.03
S  0.2182  0.3248  0.3114  1 S 2.04
S  0.7818  0.6752  0.6886  1 S 2.04
S  0.9873  0.2804  0.5935  1 S 2.03
Cl  0.0000  0.0000  0.0000  4 Tl 3.03-3.10

Summary:
symmetry: P-1
V: 308 Å³/cell
formation energy without anion corrections: -0.14 eV per atom

What did the second record say?
A geometry-optimized LiNbInCo structure, computed with PBE.

Unit cell a=4.3667 b=4.3667 c=4.3667 alpha=60.00 beta=60.00 gamma=60.00
Last column: nearest neighbours and their distance in Å.
Fractional positions:
Co  0.5000  0.5000  0.5000  4 Nb 2.67, 4 In 2.67
Li  0.0000  0.0000  0.0000  4 In 2.67, 4 Nb 2.67
Nb  0.2500  0.2500  0.2500  4 Li 2.67, 4 Co 2.67
In  0.7500  0.7500  0.7500  4 Co 2.67, 4 Li 2.67

Summary:
symmetry: F-43m
V: 59 Å³/cell
formation energy: -0.14 eV per atom

> Which of these has the lowest V?

LiNbInCo